*P*
# Y3PPb

A relaxed structure of Y3PPb (PBE-GGA, Alexandria via LeMat-Bulk).

mass density: 5867 kg/m3
magnetic moment: 0.00 Bohr magnetons per cell

Geometry as CIF:
```
data_Y3PPb
_chemical_formula_sum 'Y18 P6 Pb6'
_symmetry_space_group_name_H-M 'R -3 c'
_symmetry_Int_Tables_number 167
_symmetry_space_group_name_Hall '-R 3 2"c'
_cell_length_a 7.7200
_cell_length_b 7.7200
_cell_length_c 16.6129
_cell_angle_alpha 90.00
_cell_angle_beta 90.00
_cell_angle_gamma 120.00
loop_
_atom_site_label
_atom_site_type_symbol
_atom_site_fract_x
_atom_site_fract_y
_atom_site_fract_z
Y1 Y 0.0000 0.4091 0.2500
P1 P 0.0000 0.0000 0.0000
Pb1 Pb 0.0000 0.0000 0.2500
```


*Q*
# Y3PPb

A relaxed structure of Y3PPb (PBE-GGA, Alexandria via LeMat-Bulk).

mass density: 6077 kg/m3
magnetic moment: 1.41 Bohr magnetons per cell

Geometry as CIF:
```
data_Y3PPb
_chemical_formula_sum 'Y12 P4 Pb4'
_symmetry_space_group_name_H-M 'C m c m'
_symmetry_Int_Tables_number 63
_symmetry_space_group_name_Hall '-C 2c 2'
_cell_length_a 3.9056
_cell_length_b 23.0631
_cell_length_c 6.1261
_cell_angle_alpha 90.00
_cell_angle_beta 90.00
_cell_angle_gamma 90.00
loop_
_atom_site_label
_atom_site_type_symbol
_atom_site_fract_x
_atom_site_fract_y
_atom_site_fract_z
Y1 Y 0.0000 0.0000 0.0000
Y2 Y 0.0000 0.2066 0.2500
Y3 Y 0.0000 0.3734 0.2500
P1 P 0.0000 0.2090 0.7500
Pb1 Pb 0.0000 0.4083 0.7500
```


*R*
# Y3PPb

A relaxed structure of Y3PPb (PBE-GGA, Alexandria via LeMat-Bulk).

mass density: 5141 kg/m3
magnetic moment: 0.00 Bohr magnetons per cell

Geometry as CIF:
```
data_Y3PPb
_chemical_formula_sum 'Y12 P4 Pb4'
_symmetry_space_group_name_H-M 'C 1 2/m 1'
_symmetry_Int_Tables_number 12
_cell_length_a 18.1109
_cell_length_b 3.9739
_cell_length_c 9.3523
_cell_angle_alpha 90.00
_cell_angle_beta 104.29
_cell_angle_gamma 90.00
loop_
_symmetry_equiv_pos_as_xyz
'x,y,z'
'-x,-y,-z'
'-x,y,-z'
'x,-y,z'
'x+1/2,y+1/2,z'
'-x+1/2,-y+1/2,-z'
'-x+1/2,y+1/2,-z'
'x+1/2,-y+1/2,z'
loop_
_atom_site_label
_atom_site_type_symbol
_atom_site_fract_x
_atom_site_fract_y
_atom_site_fract_z
Y1 Y 0.0621 0.0000 0.1904
Y2 Y 0.1804 0.0000 0.5624
Y3 Y 0.2034 0.5000 0.1016
P1 P 0.1512 0.5000 0.3575
Pb1 Pb 0.1120 0.0000 0.8472
```


Which of them is the most stable? Correct choice: *Q*.


*P*
# YPPb3

A relaxed structure of YPPb3 (PBE-GGA, Alexandria via LeMat-Bulk).

mass density: 6151 kg/m3
magnetic moment: 0.00 Bohr magnetons per cell

Geometry as CIF:
```
data_YPPb3
_chemical_formula_sum 'Y1 P1 Pb3'
_symmetry_space_group_name_H-M 'P m -3 m'
_symmetry_Int_Tables_number 221
_symmetry_space_group_name_Hall '-P 4 2 3'
_cell_length_a 5.8498
_cell_length_b 5.8498
_cell_length_c 5.8498
_cell_angle_alpha 90.00
_cell_angle_beta 90.00
_cell_angle_gamma 90.00
loop_
_atom_site_label
_atom_site_type_symbol
_atom_site_fract_x
_atom_site_fract_y
_atom_site_fract_z
Y1 Y 0.0000 0.0000 0.0000
P1 P 0.5000 0.5000 0.5000
Pb1 Pb 0.0000 0.0000 0.5000
```


*Q*
# YPPb3

A relaxed structure of YPPb3 (PBE-GGA, Alexandria via LeMat-Bulk).

mass density: 7780 kg/m3
magnetic moment: 0.00 Bohr magnetons per cell

Geometry as CIF:
```
data_YPPb3
_chemical_formula_sum 'Y1 P1 Pb3'
_symmetry_space_group_name_H-M 'P m -3 m'
_symmetry_Int_Tables_number 221
_symmetry_space_group_name_Hall '-P 4 2 3'
_cell_length_a 5.4090
_cell_length_b 5.4090
_cell_length_c 5.4090
_cell_angle_alpha 90.00
_cell_angle_beta 90.00
_cell_angle_gamma 90.00
loop_
_atom_site_label
_atom_site_type_symbol
_atom_site_fract_x
_atom_site_fract_y
_atom_site_fract_z
Y1 Y 0.0000 0.0000 0.0000
P1 P 0.5000 0.5000 0.5000
Pb1 Pb 0.0000 0.5000 0.5000
```


Which of them is the most stable? Correct choice: *Q*.


*P*
# Y2PPb2

A relaxed structure of Y2PPb2 (PBE-GGA, Alexandria via LeMat-Bulk).

mass density: 7482 kg/m3
magnetic moment: 0.00 Bohr magnetons per cell

Geometry as CIF:
```
data_Y2PPb2
_chemical_formula_sum 'Y4 P2 Pb4'
_symmetry_space_group_name_H-M 'P 4/m b m'
_symmetry_Int_Tables_number 127
_symmetry_space_group_name_Hall '-P 4 2ab'
_cell_length_a 7.4311
_cell_length_b 7.4311
_cell_length_c 5.0092
_cell_angle_alpha 90.00
_cell_angle_beta 90.00
_cell_angle_gamma 90.00
loop_
_atom_site_label
_atom_site_type_symbol
_atom_site_fract_x
_atom_site_fract_y
_atom_site_fract_z
Y1 Y 0.1703 0.3297 0.0000
P1 P 0.0000 0.0000 0.0000
Pb1 Pb 0.1488 0.6488 0.5000
```


*Q*
# Y2PPb2

A relaxed structure of Y2PPb2 (PBE-GGA, Alexandria via LeMat-Bulk).

mass density: 7581 kg/m3
magnetic moment: 0.00 Bohr magnetons per cell

Geometry as CIF:
```
data_Y2PPb2
_chemical_formula_sum 'Y4 P2 Pb4'
_symmetry_space_group_name_H-M 'P 4/m b m'
_symmetry_Int_Tables_number 127
_symmetry_space_group_name_Hall '-P 4 2ab'
_cell_length_a 7.7985
_cell_length_b 7.7985
_cell_length_c 4.4887
_cell_angle_alpha 90.00
_cell_angle_beta 90.00
_cell_angle_gamma 90.00
loop_
_atom_site_label
_atom_site_type_symbol
_atom_site_fract_x
_atom_site_fract_y
_atom_site_fract_z
Y1 Y 0.1697 0.3303 0.0000
P1 P 0.0000 0.0000 0.5000
Pb1 Pb 0.1402 0.6402 0.5000
```


Which of them is the most stable? Correct choice: *P*.